[1]
Computed, not measured: a relaxed CaTm2CdHg4 crystal at the GGA-PBE level of DFT.

The structure belongs to space group R-3m (No. 166, hexagonal axes); the cell edges are 5.1450, 5.1450 and 25.5142 Å and the angles 90.00°, 90.00° and 120.00°. The distinct sites, in fractional coordinates, are Ca at (0.0000, 0.0000, 0.0000), Tm at (0.0000, 0.0000, 0.2448), Cd at (0.0000, 0.0000, 0.5000), Hg at (0.0000, 0.0000, 0.1231) and Hg at (0.0000, 0.0000, 0.3724).

Its energy of formation is -40 kJ/mol of atoms. The total moment comes out at 0.000 μB/atom. The value obtained for the density of states at the Fermi level is 0.47 states/eV per atom. For the raw total energy, the calculation gives -0.1505 Ry/atom.

---

[2]
Computed, not measured: a relaxed Ca2TmCdHg6 crystal at the GGA-PBE level of DFT.

The structure belongs to space group Fm-3m (No. 225); the cell edges are 11.0889, 11.0889 and 11.0889 Å and the angles 90.00°, 90.00° and 90.00°. The distinct sites, in fractional coordinates, are Ca at (0.2500, 0.2500, 0.2500), Tm at (0.0000, 0.0000, 0.0000), Cd at (0.0000, 0.0000, 0.5000) and Hg at (0.0000, 0.0000, 0.2532).

Its energy of formation is 0 kJ/mol of atoms. The total moment comes out at 0.000 μB/atom. The value obtained for the density of states at the Fermi level is 0.79 states/eV per atom. For the raw total energy, the calculation gives -0.0822 Ry/atom.

---

Q: What is the formula in the second record?
A: Ca2TmCdHg6